VASP calculation (PBE) on an optimized crystal structure of Eu2YBr.

Unit cell a=3.8587 b=3.8587 c=32.1100 alpha=90.00 beta=90.00 gamma=120.00
Space group R-3m (No. 166, hexagonal axes)
Asymmetric unit:
Eu 0.0000 0.0000 0.2395 (multiplicity 6)
Y 0.0000 0.0000 0.0000 (multiplicity 3)
Br 0.0000 0.0000 0.5000 (multiplicity 3)

Distance to the lowest polymorph of the same formula: 0.0000 eV per atom
E_form (uncorrected): -653 meV/atom